Compound: EuAl2Pt
Source: Alexandria
Functional: PBE
Structure: relaxed

- DOS(E_F) (states/eV/f.u.) = 5.7
- DFT formation energy (meV per atom) = -775.9
- uncorrected energy (eV/atom) = -6.7260
- M_tot (μB per formula unit) = 7.5

Structure (extended XYZ):
```
4
Lattice="-1.2021 1.1746 3.9573 -3.6725 -1.4938 1.6633 1.0602 -4.3853 3.9592" Properties=species:S:1:pos:R:3 pbc="T T T"
Al -1.3355 -0.5676 2.0983
Al -2.4790 -4.1369 7.4814
Eu -1.9072 -2.3522 4.7899
Pt 0.0000 0.0000 0.0000
```